Below is Na2Te7Au2 after structural relaxation, with properties calculated at the GGA-PBE level.

Results
- Formation energy without anion corrections: -93 kJ/mol of formula units
- Uncorrected energy: -2.923 eV/atom
- Density of states at the Fermi level: 0.483 states/eV per atom

POSCAR file:
```
Na2Te7Au2
1.0
4.520 -6.392 0.000
4.520 6.392 0.000
0.000 0.000 6.183
Na Te Au
2 7 2
direct
0.182 0.182 0.000 Na
0.818 0.818 0.000 Na
0.000 0.000 0.500 Te
0.000 0.500 0.228 Te
0.000 0.500 0.772 Te
0.500 0.000 0.228 Te
0.500 0.000 0.772 Te
0.500 0.500 0.216 Te
0.500 0.500 0.784 Te
0.223 0.777 0.500 Au
0.777 0.223 0.500 Au
```